A plane-wave DFT calculation with PBE was carried out for a relaxed LiMn2As crystal.

Cell lengths 4.0995, 4.0995, 4.0995 Å; angles 60.00, 60.00, 60.00 degrees
Element x y z (fractional)
Li 0.0000 0.0000 0.0000
Mn 0.5000 0.5000 0.5000
Mn 0.7500 0.7500 0.7500
As 0.2500 0.2500 0.2500

V (Å³/f.u.): 49
Space-group type: F-43m, No. 216
ΔE_f (eV per atom): -0.140
Calculated density (kg/m³): 6536
Total energy (Ry per atom): -0.4679